Entry 1:
Here is an optimized crystal structure of CaZr2Ta from Alexandria via LeMat-Bulk. Energies are from PBEsol.

a = 3.0520 Å, b = 5.0390 Å, c = 6.1876 Å
α = 90.00°, β = 104.72°, γ = 90.00°
Sites, in units of the cell vectors:
Zr: 0.7954 0.5000 0.2121
Zr: 0.1472 0.0000 0.9907
Ta: 0.1114 0.5000 0.7818
Ca: 0.4460 0.0000 0.5154

Values from the calculation:
M_tot = 0.00 Bohr magnetons per cell
density = 7.280 g/cm3
final energy = -31.240 eV per cell
E_form = 0.406 eV per atom

=====

Entry 2:
Here is an optimized crystal structure of Ca2ZrTa from Alexandria via LeMat-Bulk. Energies are from PBEsol.

a = 3.1781 Å, b = 3.1781 Å, c = 10.6986 Å
α = 90.00°, β = 90.00°, γ = 103.94°
Sites, in units of the cell vectors:
Ta: 0.0000 0.0000 0.4767
Ca: 0.0000 0.0000 0.0198
Ca: 0.5000 0.5000 0.7114
Zr: 0.5000 0.5000 0.2921

Values from the calculation:
M_tot = 0.00 Bohr magnetons per cell
density = 5.578 g/cm3
final energy = -24.232 eV per cell
E_form = 0.419 eV per atom

=====

Entry 3:
Here is an optimized crystal structure of CaZrTa2 from Alexandria via LeMat-Bulk. Energies are from PBEsol.

a = 3.8445 Å, b = 4.3918 Å, c = 4.8874 Å
α = 90.00°, β = 90.00°, γ = 90.00°
Sites, in units of the cell vectors:
Zr: 0.5000 0.0000 0.5000
Ta: 0.5000 0.5000 0.0000
Ca: 0.0000 0.5000 0.5000
Ta: 0.0000 0.0000 0.0000

Values from the calculation:
M_tot = 0.00 Bohr magnetons per cell
density = 9.925 g/cm3
final energy = -33.756 eV per cell
E_form = 0.642 eV per atom